Computed, not measured: crystalline Ba2ScPN4 at its relaxed geometry at the PBE level of DFT.

It has space group Fddd (No. 70, origin choice 2), with a = 4.9926 Å, b = 11.3910 Å, c = 21.3756 Å, α = 90.00°, β = 90.00° and γ = 90.00°. The inequivalent atoms are Ba at (0.1250, 0.1250, 0.3043), Sc at (0.1250, 0.1250, 0.1250), P at (0.1250, 0.1250, 0.6250) and N at (0.0729, 0.2847, 0.8321).

The calculation puts the volume at 1215.6 Å³/cell. For the energy relative to the elements, uncorrected, the calculation gives -0.783 eV/atom. The total energy comes out at -6.8937 eV/atom.